Entry from Alexandria: crystalline PrNd4Dy at its relaxed geometry (GGA-PBE).

Cell: 6.725 6.725 6.725 Å, 60.00 60.00 60.00°
Fractional positions:
Pr (0.250, 0.250, 0.250)
Nd (0.626, 0.626, 0.123)
Nd (0.626, 0.123, 0.626)
Nd (0.626, 0.626, 0.626)
Nd (0.123, 0.626, 0.626)
Dy (0.000, 0.000, 0.000)

energy relative to the lowest polymorph listed for this composition = 239 meV/atom
N(E_F) = 10.581 states/eV per cell